1.
Computed, not measured: a relaxed Mn2ReSi crystal at the PBE level of DFT.

Summary:
Formation energy without anion corrections (eV/atom): 0.475
N(E_F) (states/eV/atom): 0.75
Magnetic moment (μB per cell): 9.91
Total DFT energy (no corrections) (eV/atom): -8.578

a = 6.674 Å, b = 6.674 Å, c = 5.350 Å
α = 51.41°, β = 51.41°, γ = 90.00°
Last column: magnetic moment on the atom in μB.
Fractional positions:
Re 0.000 0.000 0.000  -0.15
Re 0.750 0.250 0.500  -0.17
Si 0.500 0.500 0.000  -0.03
Si 0.250 0.750 0.500  -0.03
Mn 0.612 0.125 0.250  2.48
Mn 0.138 0.625 0.250  2.45
Mn 0.375 0.388 0.750  2.47
Mn 0.875 0.862 0.750  2.43

2.
Computed, not measured: a relaxed TePtPb2 crystal at the PBE level of DFT.

Summary:
Formation energy without anion corrections (eV/atom): -0.082
N(E_F) (states/eV/atom): 0.48
Magnetic moment (μB per cell): 0.00
Total DFT energy (no corrections) (eV/atom): -4.232

a = 4.326 Å, b = 5.157 Å, c = 6.392 Å
α = 55.90°, β = 90.00°, γ = 90.00°
Fractional positions:
Pb 0.000 0.123 0.034
Pb 0.000 0.377 0.466
Pt 0.500 0.250 0.250
Te 0.500 0.750 0.750

3.
Computed, not measured: a relaxed La2Pm8Tl crystal at the PBE level of DFT.

Summary:
E above lowest polymorph (meV/atom): 0
N(E_F) (states/eV/atom): 1.36
Magnetic moment (μB per cell): 0.00
Total DFT energy (no corrections) (eV/atom): -4.602

a = 5.100 Å, b = 8.102 Å, c = 9.614 Å
α = 104.57°, β = 105.38°, γ = 90.00°
Fractional positions:
La 0.777 0.367 0.554
La 0.223 0.633 0.446
Pm 0.411 0.560 0.823
Pm 0.677 0.907 0.355
Pm 0.864 0.824 0.727
Pm 0.957 0.274 0.914
Pm 0.136 0.176 0.273
Pm 0.323 0.093 0.645
Pm 0.589 0.440 0.177
Pm 0.043 0.726 0.086
Tl 0.500 0.000 0.000

4.
Computed, not measured: a relaxed Cr3CoIr crystal at the PBE level of DFT.

Summary:
E above lowest polymorph (meV/atom): 0
N(E_F) (states/eV/atom): 1.74
Magnetic moment (μB per cell): 0.00
Total DFT energy (no corrections) (eV/atom): -7.814

a = 4.133 Å, b = 4.133 Å, c = 4.133 Å
α = 90.00°, β = 90.00°, γ = 90.00°
Fractional positions:
Cr 0.000 0.500 0.000
Cr 0.000 0.000 0.500
Cr 0.500 0.000 0.000
Ir 0.500 0.500 0.500
Co 0.000 0.000 0.000

5.
Computed, not measured: a relaxed Th2Ga3SnIr4 crystal at the PBE level of DFT.

Summary:
N(E_F) (states/eV/atom): 0.68
Magnetic moment (μB per cell): 0.00
Total DFT energy (no corrections) (eV/atom): -7.043

a = 4.315 Å, b = 4.315 Å, c = 10.510 Å
α = 90.00°, β = 90.00°, γ = 90.00°
Fractional positions:
Th 0.500 0.000 0.237
Th 0.000 0.500 0.763
Ga 0.000 0.000 0.500
Ga 0.500 0.000 0.877
Ga 0.000 0.500 0.123
Sn 0.500 0.500 0.500
Ir 0.500 0.500 0.000
Ir 0.000 0.000 0.000
Ir 0.500 0.000 0.645
Ir 0.000 0.500 0.355

6.
Computed, not measured: a relaxed Ba2RuSe2O2 crystal at the PBE level of DFT.

Summary:
Formation energy without anion corrections (eV/atom): -1.612
Magnetic moment (μB per cell): 2.05
Total DFT energy (no corrections) (eV/atom): -5.899

a = 4.086 Å, b = 6.571 Å, c = 7.106 Å
α = 63.78°, β = 73.29°, γ = 71.88°
Last column: magnetic moment on the atom in μB.
Fractional positions:
Ba 0.191 0.344 0.274  0.02
Ba 0.809 0.656 0.726  0.02
Ru 0.000 0.000 0.000  1.45
Se 0.539 0.184 0.739  -0.02
Se 0.461 0.816 0.261  -0.02
O 0.174 0.731 0.922  0.22
O 0.826 0.269 0.078  0.22

7.
Computed, not measured: a relaxed MnBeNi2S crystal at the PBE level of DFT.

Summary:
Formation energy without anion corrections (eV/atom): 0.277
N(E_F) (states/eV/atom): 0.43
Magnetic moment (μB per cell): 2.95
Total DFT energy (no corrections) (eV/atom): -5.440

a = 4.075 Å, b = 4.213 Å, c = 4.075 Å
α = 90.00°, β = 90.00°, γ = 90.00°
Last column: magnetic moment on the atom in μB.
Fractional positions:
Ni 0.000 0.000 0.500  0.05
Ni 0.500 0.000 0.000  0.10
S 0.000 0.000 0.000  -0.01
Mn 0.000 0.500 0.000  2.95
Be 0.500 0.500 0.500  -0.07

8.
Computed, not measured: a relaxed RbY2VIn crystal at the PBE level of DFT.

Summary:
E above lowest polymorph (meV/atom): 564
N(E_F) (states/eV/atom): 1.51
Magnetic moment (μB per cell): 2.98
Total DFT energy (no corrections) (eV/atom): -3.487

a = 5.883 Å, b = 5.883 Å, c = 5.403 Å
α = 90.00°, β = 90.00°, γ = 90.00°
Last column: magnetic moment on the atom in μB.
Fractional positions:
Y 0.000 0.500 0.000  -0.18
Y 0.500 0.000 0.000  -0.18
V 0.000 0.000 0.500  2.91
Rb 0.000 0.000 0.000  0.03
In 0.500 0.500 0.500  -0.01